(1)
# Tl2NiSe | the Alexandria database | PBE | relaxed
# - E_form (uncorrected) (eV per formula unit) = 1.7
# - energy relative to the lowest polymorph listed for this composition (eV per atom) = 0.597
data_Tl2NiSe
_cell_length_a 7.2459
_cell_length_b 7.2459
_cell_length_c 7.2459
_cell_angle_alpha 90.00
_cell_angle_beta 90.00
_cell_angle_gamma 90.00
_space_group_name_H-M_alt 'F m -3 m'
_space_group_IT_number 225
_space_group_name_Hall '-F 4 2 3'
loop_
_atom_site_label
_atom_site_type_symbol
_atom_site_fract_x
_atom_site_fract_y
_atom_site_fract_z
Tl1 Tl 0.2500 0.2500 0.2500
Ni1 Ni 0.0000 0.0000 0.0000
Se1 Se 0.0000 0.0000 0.5000

=====

(2)
# CaNi3Sn | the Alexandria database | PBE | relaxed
# - energy relative to the lowest polymorph listed for this composition (eV per atom) = 0.504
# - energy of formation (meV per atom) = 376
data_CaNi3Sn
_cell_length_a 4.7311
_cell_length_b 4.7311
_cell_length_c 4.7311
_cell_angle_alpha 90.00
_cell_angle_beta 90.00
_cell_angle_gamma 90.00
_space_group_name_H-M_alt 'P m -3 m'
_space_group_IT_number 221
_space_group_name_Hall '-P 4 2 3'
loop_
_atom_site_label
_atom_site_type_symbol
_atom_site_fract_x
_atom_site_fract_y
_atom_site_fract_z
Ca1 Ca 0.0000 0.0000 0.0000
Ni1 Ni 0.0000 0.5000 0.5000
Sn1 Sn 0.5000 0.5000 0.5000

=====

(3)
# CeScC | the Alexandria database | PBE | relaxed
# - energy relative to the lowest polymorph listed for this composition (eV per atom) = 0.000
# - energy of formation (meV per atom) = -271
data_CeScC
_cell_length_a 5.8926
_cell_length_b 3.4019
_cell_length_c 12.2277
_cell_angle_alpha 90.00
_cell_angle_beta 99.13
_cell_angle_gamma 90.00
_space_group_name_H-M_alt 'C 1 m 1'
_space_group_IT_number 8
loop_
_space_group_symop_operation_xyz
'x,y,z'
'x,-y,z'
'x+1/2,y+1/2,z'
'x+1/2,-y+1/2,z'
loop_
_atom_site_label
_atom_site_type_symbol
_atom_site_fract_x
_atom_site_fract_y
_atom_site_fract_z
Ce1 Ce 0.0000 0.0000 0.0000
Ce2 Ce 0.1025 0.0000 0.2998
Sc1 Sc 0.0087 0.5000 0.5212
Sc2 Sc 0.2603 0.0000 0.7788
C1 C 0.1259 0.5000 0.8763
C2 C 0.3092 0.5000 0.4213

=====

(4)
# Hg2Te | the Alexandria database | PBE | relaxed
# - E_form (uncorrected) (eV per formula unit) = 0.2
# - energy relative to the lowest polymorph listed for this composition (eV per atom) = 0.085
data_Hg2Te
_cell_length_a 8.2089
_cell_length_b 8.2089
_cell_length_c 4.5247
_cell_angle_alpha 90.00
_cell_angle_beta 90.00
_cell_angle_gamma 120.00
_space_group_name_H-M_alt 'P -6 2 m'
_space_group_IT_number 189
_space_group_name_Hall 'P -6 -2'
loop_
_atom_site_label
_atom_site_type_symbol
_atom_site_fract_x
_atom_site_fract_y
_atom_site_fract_z
Hg1 Hg 0.0000 0.2621 0.0000
Hg2 Hg 0.0000 0.5740 0.5000
Te1 Te 0.0000 0.0000 0.5000
Te2 Te 0.3333 0.6667 0.0000

=====

(5)
# Na2NdNpS4 | the Alexandria database | PBE | relaxed
# - E_form (uncorrected) (eV per formula unit) = -12.5
data_Na2NdNpS4
_cell_length_a 7.0741
_cell_length_b 4.0835
_cell_length_c 7.0896
_cell_angle_alpha 90.00
_cell_angle_beta 109.58
_cell_angle_gamma 90.00
_space_group_name_H-M_alt 'P 1 2/m 1'
_space_group_IT_number 10
loop_
_space_group_symop_operation_xyz
'x,y,z'
'-x,-y,-z'
'-x,y,-z'
'x,-y,z'
loop_
_atom_site_label
_atom_site_type_symbol
_atom_site_fract_x
_atom_site_fract_y
_atom_site_fract_z
Na1 Na 0.0000 0.0000 0.0000
Na2 Na 0.5000 0.5000 0.0000
Nd1 Nd 0.0000 0.5000 0.5000
Np1 Np 0.5000 0.0000 0.5000
S1 S 0.2497 0.0000 0.7336
S2 S 0.2641 0.5000 0.2724

=====

(6)
# BaMn2S | the Alexandria database | PBE | relaxed
# - E_form (uncorrected) (eV per formula unit) = -0.1
# - energy relative to the lowest polymorph listed for this composition (eV per atom) = 0.000
data_BaMn2S
_cell_length_a 4.9024
_cell_length_b 4.9024
_cell_length_c 15.7444
_cell_angle_alpha 90.00
_cell_angle_beta 90.00
_cell_angle_gamma 90.00
_space_group_name_H-M_alt 'I 41/a m d'
_space_group_IT_number 141
loop_
_space_group_symop_operation_xyz
'x,y,z'
'-x,-y,-z'
'-y+1/4,x+3/4,z+1/4'
'y+1/4,-x+3/4,-z+1/4'
'-x+1/2,-y,z+1/2'
'x+1/2,y,-z+1/2'
'y+1/4,-x+1/4,z+3/4'
'-y+1/4,x+1/4,-z+3/4'
'x,-y,-z'
'-x,y,z'
'-y+1/4,-x+1/4,-z+3/4'
'y+1/4,x+1/4,z+3/4'
'-x+1/2,y,-z+1/2'
'x+1/2,-y,z+1/2'
'y+1/4,x+3/4,-z+1/4'
'-y+1/4,-x+3/4,z+1/4'
'x+1/2,y+1/2,z+1/2'
'-x+1/2,-y+1/2,-z+1/2'
'-y+3/4,x+1/4,z+3/4'
'y+3/4,-x+1/4,-z+3/4'
'-x,-y+1/2,z'
'x,y+1/2,-z'
'y+3/4,-x+3/4,z+1/4'
'-y+3/4,x+3/4,-z+1/4'
'x+1/2,-y+1/2,-z+1/2'
'-x+1/2,y+1/2,z+1/2'
'-y+3/4,-x+3/4,-z+1/4'
'y+3/4,x+3/4,z+1/4'
'-x,y+1/2,-z'
'x,-y+1/2,z'
'y+3/4,x+1/4,-z+3/4'
'-y+3/4,-x+1/4,z+3/4'
loop_
_atom_site_label
_atom_site_type_symbol
_atom_site_fract_x
_atom_site_fract_y
_atom_site_fract_z
Ba1 Ba 0.0000 0.2500 0.3750
Mn1 Mn 0.0000 0.0000 0.0000
S1 S 0.0000 0.2500 0.8750

=====

Short version: V = 23.8 21.2 20.2 29.3 24.1 23.6 A^3/atom, in the order given.
Short version: density of states at the Fermi level = 1.495 0.796 1.325 0.284 1.093 0.969 states/eV per atom, in the order given.